Below is Ho2ScHg8 after structural relaxation, with properties calculated at the PBE level.

It has space group C2/m (No. 12), with a = 15.7570 Å, b = 4.9233 Å, c = 7.1307 Å, α = 90.00°, β = 109.73° and γ = 90.00°. The distinct sites, in fractional coordinates, are Ho at (0.2131, 0.0000, 0.1590), Sc at (0.0000, 0.5000, 0.5000), Hg at (0.0253, 0.0000, 0.2351), Hg at (0.0979, 0.5000, 0.9402), Hg at (0.1525, 0.0000, 0.6791) and Hg at (0.1644, 0.5000, 0.3944).

=====

Below is Ho2Sc3Hg4 after structural relaxation, with properties calculated at the PBE level.

It has space group Cmce (No. 64), with a = 6.6088 Å, b = 17.0359 Å, c = 7.8464 Å, α = 90.00°, β = 90.00° and γ = 90.00°. The distinct sites, in fractional coordinates, are Ho at (0.0000, 0.0984, 0.0940), Sc at (0.0000, 0.0000, 0.5000), Sc at (0.2500, 0.2375, 0.7500), Hg at (0.0000, 0.1697, 0.4710) and Hg at (0.2500, 0.0644, 0.7500).

=====

Below is Ho2ScHg3 after structural relaxation, with properties calculated at the PBE level.

It has space group P-3m1 (No. 164), with a = 5.1497 Å, b = 5.1497 Å, c = 12.6789 Å, α = 90.00°, β = 90.00° and γ = 120.00°. The distinct sites, in fractional coordinates, are Ho at (0.0000, 0.0000, 0.0000), Ho at (0.0000, 0.0000, 0.5000), Ho at (0.3333, 0.6667, 0.1723), Sc at (0.3333, 0.6667, 0.6663), Hg at (0.0000, 0.0000, 0.2548), Hg at (0.3333, 0.6667, 0.4194) and Hg at (0.3333, 0.6667, 0.9129).

The offset from the most stable computed form comes out at 3 meV/atom.

=====

Number 1: E_form -0.267 eV per atom. Number 2: E_form -0.334 eV per atom. Number 3: E_form -0.454 eV per atom.